Run 1
The following is a DFT calculation (PBE-GGA) of a relaxed structure of Sn2AsF.

a = 8.4587 Å, b = 8.4587 Å, c = 8.4587 Å
α = 144.34°, β = 144.34°, γ = 51.32°
Last column: nearest neighbours and their distance in Å.
Positions (direct):
Sn (0.0541, 0.6250, 0.9291)  2 F 2.48
Sn (0.3750, 0.3041, 0.4291)  2 F 2.48
Sn (0.6959, 0.1250, 0.0709)  2 F 2.48
Sn (0.8750, 0.9459, 0.5709)  2 F 2.48
As (0.2500, 0.7500, 0.5000)  4 Sn 2.84
As (0.5000, 0.5000, 0.0000)  4 Sn 2.84
F (0.0000, 0.0000, 0.0000)  4 Sn 2.48
F (0.7500, 0.2500, 0.5000)  4 Sn 2.48

Output
**Spin magnetization**: 0.0 μB/f.u.
**Symmetry**: I-42d, No. 122

***

Run 2
The following is a DFT calculation (PBE-GGA) of a relaxed structure of Sn2AsF.

a = 4.9261 Å, b = 4.9261 Å, c = 4.9261 Å
α = 60.00°, β = 60.00°, γ = 60.00°
Last column: nearest neighbours and their distance in Å.
Positions (direct):
Sn (0.2500, 0.2500, 0.2500)  4 As 3.02, 4 F 3.02
Sn (0.7500, 0.7500, 0.7500)  4 F 3.02, 4 As 3.02
As (0.0000, 0.0000, 0.0000)  8 Sn 3.02
F (0.5000, 0.5000, 0.5000)  8 Sn 3.02

Output
**Spin magnetization**: 0.0 μB/f.u.
**Symmetry**: Fm-3m, No. 225

***

Least stable: run 1

***

Run 1
The following is a DFT calculation (PBE-GGA) of a relaxed structure of SrAs2F.

a = 12.6815 Å, b = 12.6815 Å, c = 12.6815 Å
α = 163.14°, β = 163.14°, γ = 23.94°
Last column: nearest neighbours and their distance in Å.
Positions (direct):
Sr (0.0000, 0.0000, 0.0000)  4 F 2.63
Sr (0.7500, 0.2500, 0.5000)  4 F 2.63
As (0.1404, 0.6250, 0.0154)  4 As 2.55-2.71
As (0.3750, 0.3904, 0.5154)  4 As 2.55-2.71
As (0.6096, 0.1250, 0.9846)  4 As 2.55-2.71
As (0.8750, 0.8596, 0.4846)  4 As 2.55-2.71
F (0.2500, 0.7500, 0.5000)  4 Sr 2.63
F (0.5000, 0.5000, 0.0000)  4 Sr 2.63

Output
**Spin magnetization**: 0.0 μB/f.u.
**Symmetry**: I-42d, No. 122

***

Run 2
The following is a DFT calculation (PBE-GGA) of a relaxed structure of SrAs2F.

a = 4.9973 Å, b = 4.9973 Å, c = 4.9973 Å
α = 60.00°, β = 60.00°, γ = 60.00°
Last column: nearest neighbours and their distance in Å.
Positions (direct):
Sr (0.0000, 0.0000, 0.0000)  8 As 3.06
As (0.2500, 0.2500, 0.2500)  4 F 3.06, 4 Sr 3.06
As (0.7500, 0.7500, 0.7500)  4 Sr 3.06, 4 F 3.06
F (0.5000, 0.5000, 0.5000)  8 As 3.06

Output
**Spin magnetization**: 0.0 μB/f.u.
**Symmetry**: Fm-3m, No. 225

***

Least stable: run 2

***

Run 1
The following is a DFT calculation (PBE-GGA) of a relaxed structure of SrAsF6.

a = 5.9292 Å, b = 5.9292 Å, c = 5.9029 Å
α = 119.20°, β = 119.20°, γ = 62.37°
Last column: nearest neighbours and their distance in Å.
Positions (direct):
Sr (0.0000, 0.0000, 0.0000)  6 F 2.44-2.45
As (0.5000, 0.5000, 0.5000)  6 F 1.92
F (0.2253, 0.6664, 0.2302)  1 As 1.92
F (0.2826, 0.2826, 0.3938)  1 As 1.92
F (0.3336, 0.7747, 0.7698)  1 As 1.92
F (0.6664, 0.2253, 0.2302)  1 As 1.92
F (0.7174, 0.7174, 0.6062)  1 As 1.92
F (0.7747, 0.3336, 0.7698)  1 As 1.92

Output
**Spin magnetization**: 1.0 μB/f.u.
**Symmetry**: C2/m, No. 12

***

Run 2
The following is a DFT calculation (PBE-GGA) of a relaxed structure of SrAsF6.

a = 4.8422 Å, b = 4.8422 Å, c = 4.8965 Å
α = 99.06°, β = 99.06°, γ = 97.64°
Last column: nearest neighbours and their distance in Å.
Positions (direct):
Sr (0.0000, 0.0000, 0.0000)  12 F 2.71-2.82
As (0.5000, 0.5000, 0.5000)  6 F 1.92
F (0.2128, 0.2128, 0.5570)  1 As 1.92
F (0.2146, 0.5725, 0.2126)  1 As 1.92
F (0.4275, 0.7854, 0.7874)  1 As 1.92
F (0.5725, 0.2146, 0.2126)  1 As 1.92
F (0.7854, 0.4275, 0.7874)  1 As 1.92
F (0.7872, 0.7872, 0.4430)  1 As 1.92

Output
**Spin magnetization**: 0.6 μB/f.u.
**Symmetry**: C2/m, No. 12

***

Least stable: run 2